1 | GGA-PBE CaNdF, optimized geometry; N(E_F) = 6.12 states/eV/cell; SG = Amm2
1.0
3.474 0.000 0.000
-1.737 3.330 0.000
0.000 0.000 13.372
Ca Nd F
2 2 2
direct
0.464 0.929 0.000
0.422 0.844 0.500
0.718 0.437 0.734
0.718 0.437 0.266
0.172 0.343 0.095
0.172 0.343 0.905


2 | GGA-PBE CaNdF, optimized geometry; N(E_F) = 1.95 states/eV/cell; SG = P3m1
1.0
-0.145 2.325 2.820
0.782 -3.526 0.575
6.322 1.283 -0.733
Ca Nd F
1 1 1
direct
0.667 0.333 0.427
0.000 0.000 0.948
0.333 0.667 0.625


The most stable of them is 2.